Record 1
12
Lattice="-2.412 6.403 -2.478 -6.775 0.580 -2.592 -6.382 4.634 7.501" Properties=species:S:1:pos:R:3 comment="KRbCr2Br8, relaxed, DFT PBE" space_group=R-3 energy_ev_per_atom=-3.846 vol_a3_per_cell=460.5 dos_ef_per_ev_atom=1.013 pbc="T T T"
K 0.000 0.000 0.000
Rb -7.784 5.808 1.215
Cr -3.932 2.932 0.720
Cr -11.636 8.685 1.711
Br -4.706 3.470 2.861
Br -4.771 4.647 -0.711
Br -10.862 8.147 -0.430
Br -7.253 7.184 -2.244
Br -8.316 4.433 4.675
Br -8.328 3.509 -1.710
Br -7.241 8.108 4.141
Br -10.798 6.970 3.141

---

Record 2
4
Lattice="5.163 -0.004 -0.004 4.292 2.871 -0.004 0.046 0.014 4.398" Properties=species:S:1:pos:R:3 comment="Mo3Cl, relaxed, DFT PBE" space_group=C2/m relative_energy_mev_per_atom=369.2 vol_a3_per_cell=65.3 dos_ef_per_ev_atom=0.680 pbc="T T T"
Cl 0.000 0.000 0.000
Mo 4.750 1.440 2.195
Mo 7.383 2.238 3.173
Mo 2.118 0.642 1.218

---

Record 3
4
Lattice="4.970 0.004 0.011 -2.302 3.840 0.003 0.365 0.874 2.448" Properties=species:S:1:pos:R:3 comment="Be2TcRh, relaxed, DFT PBE" space_group=C2/m relative_energy_mev_per_atom=240.8 vol_a3_per_cell=46.7 delta_e_f_ev_per_atom=-0.08 dos_ef_per_ev_atom=0.795 pbc="T T T"
Be 0.000 0.000 0.000
Be 2.668 0.439 1.230
Rh -0.968 2.357 1.225
Tc 1.334 1.922 0.007

---

Record 4
80
Lattice="-7.518 -5.056 -10.727 -5.504 -4.505 12.106 -0.245 14.035 -0.317" Properties=species:S:1:pos:R:3 comment="Ga12Bi3As5, relaxed, DFT PBE" space_group=Ia-3d vol_a3_per_cell=2130.9 delta_e_f_ev_per_atom=0.08 dos_ef_per_ev_atom=0.395 pbc="T T T"
Bi -7.733 -3.727 -3.545
Bi -10.736 -6.048 -0.346
Bi -7.100 3.498 4.859
Bi -2.659 3.436 -1.287
Bi -7.327 -1.478 -7.952
Bi -6.320 -1.202 3.464
Bi -6.946 5.677 -2.402
Bi -5.939 5.953 9.014
Bi -10.607 1.039 2.349
Bi -6.166 0.977 -3.797
Bi -2.530 10.523 1.408
Bi -5.534 8.201 4.607
As -3.065 1.188 3.120
As -2.752 -2.252 6.053
As 0.000 0.000 0.000
As -4.226 -1.268 -1.036
As -3.881 4.490 -5.522
As -6.511 -4.780 0.689
As -5.159 1.253 7.620
As -6.540 7.926 -6.810
As -9.170 -1.344 -0.598
As -3.691 8.067 -2.747
As -9.576 -3.593 3.809
As -6.633 2.237 0.531
As -3.759 -2.528 -5.364
As -0.122 7.018 -0.158
As -4.096 5.819 1.660
As -6.726 -3.451 7.871
As -2.874 4.765 5.895
As -8.107 3.222 -6.558
As -9.041 5.742 2.098
As -10.201 3.287 -2.058
Ga -6.128 -3.590 -6.101
Ga -5.567 1.677 2.946
Ga -9.273 -2.510 -5.885
Ga -5.322 -1.874 -3.263
Ga -8.503 3.246 2.195
Ga -10.455 -5.062 -3.188
Ga -6.879 0.646 5.830
Ga -5.729 -2.709 10.104
Ga -9.837 2.158 5.048
Ga -8.648 -3.844 -0.669
Ga -8.482 -0.850 -3.009
Ga -11.259 -7.667 2.150
Ga -5.074 3.750 7.085
Ga -5.055 -2.532 1.024
Ga -5.748 0.622 10.025
Ga -3.996 5.548 -3.041
Ga -1.634 1.842 1.106
Ga -7.141 -4.100 3.225
Ga -11.334 -4.336 2.111
Ga -3.304 -1.314 3.583
Ga -8.212 4.831 7.370
Ga -7.998 0.014 1.222
Ga -11.551 -0.696 0.063
Ga -7.917 7.412 -4.720
Ga -5.268 4.461 -0.160
Ga -1.715 5.171 0.999
Ga -5.349 -2.938 5.781
Ga -1.933 8.811 -1.049
Ga -5.054 -0.356 -6.309
Ga -9.963 5.789 -2.521
Ga -6.126 8.575 -2.163
Ga -9.270 -1.073 4.103
Ga -11.632 2.633 -0.044
Ga -7.519 3.853 -8.963
Ga -8.192 0.725 -6.023
Ga -2.007 12.142 -1.088
Ga -8.211 7.007 0.038
Ga -3.429 2.317 -3.986
Ga -4.619 8.319 1.730
Ga -4.784 5.324 4.071
Ga -7.537 7.184 -9.042
Ga -6.387 3.829 -4.768
Ga -7.944 6.349 4.324
Ga -2.811 9.537 4.250
Ga -4.763 1.228 -1.133
Ga -3.994 6.985 6.946
Ga -7.700 2.798 -1.885
Ga -7.138 8.065 7.163

---

Record 5
10
Lattice="8.400 0.000 0.000 0.000 8.400 0.000 0.000 0.000 3.342" Properties=species:S:1:pos:R:3 comment="SrSb2W2, relaxed, DFT PBE" space_group=P4/mbm relative_energy_mev_per_atom=483.3 vol_a3_per_cell=235.8 dos_ef_per_ev_atom=0.653 pbc="T T T"
Sb 2.827 7.027 0.000
Sb 7.027 5.572 0.000
Sb 5.572 1.373 0.000
Sb 1.373 2.827 0.000
W 0.871 5.071 1.671
W 5.071 7.528 1.671
W 7.528 3.328 1.671
W 3.328 0.871 1.671
Sr 0.000 0.000 0.000
Sr 4.200 4.200 0.000

---

Record 6
9
Lattice="5.464 0.000 -2.704 -1.338 5.297 -2.704 1.722 2.211 10.352" Properties=species:S:1:pos:R:3 comment="La4DyEr4, relaxed, DFT PBE" space_group=I-42m relative_energy_mev_per_atom=688.5 vol_a3_per_cell=364.9 delta_e_f_ev_per_atom=0.72 dos_ef_per_ev_atom=1.510 pbc="T T T"
La 2.732 0.000 -1.352
La -0.669 2.649 -1.352
La 1.085 1.393 2.193
La 4.762 6.115 2.751
Dy 0.000 0.000 0.000
Er 2.975 3.820 3.529
Er 2.389 5.602 0.438
Er 1.485 1.906 5.483
Er 4.847 3.688 0.438

---

The records above yield ρ values of 3.129, 8.224, 7.787, 5.730, 9.843, 6.312 g/cm3, respectively.
The records above yield size of the total moment values of 6.00, 0.00, 0.00, 0.00, 0.00, 0.00 μB per formula unit, respectively.